Version w
# Na3PuO4, optimized geometry, DFT PBE-GGA
data_Na3PuO4
_chemical_formula_sum 'Na6 Pu2 O8'
_symmetry_space_group_name_H-M 'I -4 2 m'
_symmetry_Int_Tables_number 121
_symmetry_space_group_name_Hall 'I -4 2'
_cell_length_a 5.833
_cell_length_b 5.833
_cell_length_c 7.556
_cell_angle_alpha 90.00
_cell_angle_beta 90.00
_cell_angle_gamma 90.00
loop_
_atom_site_label
_atom_site_type_symbol
_atom_site_fract_x
_atom_site_fract_y
_atom_site_fract_z
Na1 Na 0.000 0.000 0.000
Na2 Na 0.000 0.500 0.250
Pu1 Pu 0.000 0.000 0.500
O1 O 0.225 0.225 0.393
# - Crystal system: tetragonal
# - Calculated volume: 16.068 A^3/atom

Version x
# Na3PuO4, optimized geometry, DFT PBE-GGA
data_Na3PuO4
_chemical_formula_sum 'Na6 Pu2 O8'
_symmetry_space_group_name_H-M 'C m m m'
_symmetry_Int_Tables_number 65
_symmetry_space_group_name_Hall '-C 2 2'
_cell_length_a 6.766
_cell_length_b 9.468
_cell_length_c 3.433
_cell_angle_alpha 90.00
_cell_angle_beta 90.00
_cell_angle_gamma 90.00
loop_
_atom_site_label
_atom_site_type_symbol
_atom_site_fract_x
_atom_site_fract_y
_atom_site_fract_z
Na1 Na 0.000 0.000 0.000
Na2 Na 0.250 0.250 0.500
Pu1 Pu 0.000 0.500 0.000
O1 O 0.000 0.290 0.000
O2 O 0.221 0.500 0.500
# - Crystal system: orthorhombic
# - Calculated volume: 13.747 A^3/atom

Least stable structure: version w